AlRuPt | Alexandria | GGA-PBE | relaxed; energy of formation from the pure elements = -0.216 eV/atom; energy = -6.57 eV per atom; calculated volume = 16.17 Å³ per atom; offset from the most stable computed form = 255 meV/atom; magnetic moment = 0.0 Bohr magnetons per cell
1.0
0.000 2.895 2.895
2.895 0.000 2.895
2.895 2.895 0.000
Al Ru Pt
1 1 1
direct
0.000 0.000 0.000 Al
0.750 0.750 0.750 Ru
0.250 0.250 0.250 Pt



Al4RuPt | Alexandria | GGA-PBE | relaxed; energy of formation from the pure elements = -0.117 eV/atom; energy = -5.16 eV per atom; calculated volume = 14.64 Å³ per atom; magnetic moment = 0.0 Bohr magnetons per cell
1.0
0.000 3.529 3.529
3.529 0.000 3.529
3.529 3.529 0.000
Al Ru Pt
4 1 1
direct
0.125 0.125 0.125 Al
0.125 0.125 0.625 Al
0.125 0.625 0.125 Al
0.625 0.125 0.125 Al
0.500 0.500 0.500 Ru
0.750 0.750 0.750 Pt



Al2RuPt | Alexandria | GGA-PBE | relaxed; energy of formation from the pure elements = -0.575 eV/atom; energy = -6.28 eV per atom; calculated volume = 14.69 Å³ per atom; magnetic moment = 0.0 Bohr magnetons per cell
1.0
1.446 0.835 8.109
-1.446 0.835 8.109
0.000 -1.670 8.109
Al Ru Pt
2 1 1
direct
0.247 0.247 0.247 Al
0.753 0.753 0.753 Al
0.500 0.500 0.500 Ru
0.000 0.000 0.000 Pt



AlRu2Pt | Alexandria | GGA-PBE | relaxed; energy of formation from the pure elements = -0.350 eV/atom; energy = -7.43 eV per atom; calculated volume = 14.30 Å³ per atom; magnetic moment = 0.0 Bohr magnetons per cell
1.0
-1.943 1.943 3.787
1.943 -1.943 3.787
1.943 1.943 -3.787
Al Ru Pt
1 2 1
direct
0.000 0.000 0.000 Al
0.500 0.500 0.000 Ru
0.750 0.250 0.500 Ru
0.250 0.750 0.500 Pt



AlRu3Pt | Alexandria | GGA-PBE | relaxed; energy of formation from the pure elements = 1.176 eV/atom; energy = -6.35 eV per atom; calculated volume = 16.52 Å³ per atom; offset from the most stable computed form = 0 meV/atom; magnetic moment = 0.0 Bohr magnetons per cell
1.0
4.355 0.000 0.000
0.000 4.355 0.000
0.000 0.000 4.355
Al Ru Pt
1 3 1
direct
0.000 0.000 0.000 Al
0.000 0.000 0.500 Ru
0.000 0.500 0.000 Ru
0.500 0.000 0.000 Ru
0.500 0.500 0.500 Pt



AlRu2Pt | Alexandria | GGA-PBE | relaxed; energy of formation from the pure elements = -0.217 eV/atom; energy = -7.30 eV per atom; calculated volume = 14.39 Å³ per atom; magnetic moment = 0.0 Bohr magnetons per cell
1.0
2.733 -3.810 0.000
2.733 3.810 0.000
0.000 0.000 2.763
Al Ru Pt
1 2 1
direct
0.000 0.000 0.000 Al
0.000 0.500 0.500 Ru
0.500 0.000 0.500 Ru
0.500 0.500 0.000 Pt



Question: calculated volume of number 6 (AlRu2Pt)?
Answer: 14.39 Å³ per atom



Question: What is the formula in the first record?
Answer: AlRuPt



What did the third record say?
Al2RuPt | Alexandria | GGA-PBE | relaxed; energy of formation from the pure elements = -0.575 eV/atom; energy = -6.28 eV per atom; calculated volume = 14.69 Å³ per atom; magnetic moment = 0.0 Bohr magnetons per cell
1.0
1.446 0.835 8.109
-1.446 0.835 8.109
0.000 -1.670 8.109
Al Ru Pt
2 1 1
direct
0.247 0.247 0.247 Al
0.753 0.753 0.753 Al
0.500 0.500 0.500 Ru
0.000 0.000 0.000 Pt